# PBE CeGaTc, relaxed
data_CeGaTc
_cell_length_a 4.4222
_cell_length_b 4.4222
_cell_length_c 3.6443
_cell_angle_alpha 90.00
_cell_angle_beta 90.00
_cell_angle_gamma 120.00
_symmetry_space_group_name_H-M 'P -6 m 2'
_symmetry_Int_Tables_number 187
_symmetry_space_group_name_Hall 'P -6 2'
loop_
_atom_site_label
_atom_site_type_symbol
_atom_site_fract_x
_atom_site_fract_y
_atom_site_fract_z
Ce1 Ce 0.0000 0.0000 0.0000
Ga1 Ga 0.6667 0.3333 0.5000
Tc1 Tc 0.3333 0.6667 0.5000
# Relative energy among the computed polymorphs: 0.226 eV per atom

This record from Alexandria via LeMat-Bulk describes crystalline Ce6Ga2Tc at its relaxed geometry. The functional is PBE.

Cell and atoms, written as CIF:
```
data_Ce6Ga2Tc
_cell_length_a 8.5481
_cell_length_b 8.5481
_cell_length_c 3.3892
_cell_angle_alpha 90.00
_cell_angle_beta 90.00
_cell_angle_gamma 120.00
_symmetry_space_group_name_H-M 'P -6 2 m'
_symmetry_Int_Tables_number 189
_symmetry_space_group_name_Hall 'P -6 -2'
loop_
_atom_site_label
_atom_site_type_symbol
_atom_site_fract_x
_atom_site_fract_y
_atom_site_fract_z
Ce1 Ce 0.0000 0.2640 0.0000
Ce2 Ce 0.0000 0.5877 0.5000
Ga1 Ga 0.3333 0.6667 0.0000
Tc1 Tc 0.0000 0.0000 0.5000
```

# PBE Ce2Ga3Tc, relaxed
data_Ce2Ga3Tc
_cell_length_a 5.5034
_cell_length_b 5.5034
_cell_length_c 13.3131
_cell_angle_alpha 90.00
_cell_angle_beta 90.00
_cell_angle_gamma 120.00
_symmetry_space_group_name_H-M 'R -3 m'
_symmetry_Int_Tables_number 166
_symmetry_space_group_name_Hall '-R 3 2"'
loop_
_atom_site_label
_atom_site_type_symbol
_atom_site_fract_x
_atom_site_fract_y
_atom_site_fract_z
Ce1 Ce 0.0000 0.0000 0.1260
Ga1 Ga 0.0000 0.5000 0.0000
Tc1 Tc 0.0000 0.0000 0.5000
# Relative energy among the computed polymorphs: 0.000 eV per atom

This record from Alexandria via LeMat-Bulk describes crystalline CeGa5Tc at its relaxed geometry. The functional is PBE.

Cell and atoms, written as CIF:
```
data_CeGa5Tc
_cell_length_a 4.434
_cell_length_b 4.434
_cell_length_c 6.881
_cell_angle_alpha 90.00
_cell_angle_beta 90.00
_cell_angle_gamma 90.00
_symmetry_space_group_name_H-M 'P 4/m m m'
_symmetry_Int_Tables_number 123
_symmetry_space_group_name_Hall '-P 4 2'
loop_
_atom_site_label
_atom_site_type_symbol
_atom_site_fract_x
_atom_site_fract_y
_atom_site_fract_z
Ce1 Ce 0.000 0.000 0.000
Ga1 Ga 0.000 0.500 0.307
Ga2 Ga 0.500 0.500 0.000
Tc1 Tc 0.000 0.000 0.500
```

# PBE CeGaTc, relaxed
data_CeGaTc
_cell_length_a 3.293
_cell_length_b 3.293
_cell_length_c 10.799
_cell_angle_alpha 90.00
_cell_angle_beta 90.00
_cell_angle_gamma 90.00
_symmetry_space_group_name_H-M 'I 4 m m'
_symmetry_Int_Tables_number 107
_symmetry_space_group_name_Hall 'I 4 -2'
loop_
_atom_site_label
_atom_site_type_symbol
_atom_site_fract_x
_atom_site_fract_y
_atom_site_fract_z
Ce1 Ce 0.000 0.000 0.000
Ga1 Ga 0.000 0.000 0.284
Tc1 Tc 0.000 0.000 0.671
# Relative energy among the computed polymorphs: 0.202 eV per atom

This record from Alexandria via LeMat-Bulk describes crystalline CeGa3Tc2 at its relaxed geometry. The functional is PBE.

Cell and atoms, written as CIF:
```
data_CeGa3Tc2
_cell_length_a 6.857
_cell_length_b 8.866
_cell_length_c 7.435
_cell_angle_alpha 90.00
_cell_angle_beta 91.71
_cell_angle_gamma 90.00
_symmetry_space_group_name_H-M 'C 1 2/c 1'
_symmetry_Int_Tables_number 15
_symmetry_space_group_name_Hall '-C 2yc'
loop_
_atom_site_label
_atom_site_type_symbol
_atom_site_fract_x
_atom_site_fract_y
_atom_site_fract_z
Ce1 Ce 0.000 0.095 0.250
Ga1 Ga 0.000 0.276 0.750
Ga2 Ga 0.194 0.384 0.423
Tc1 Tc 0.179 0.355 0.075
```

no.,formation energy (eV/atom),D(E_F) (states/eV per cell)
1,-0.188,4.1
2,-0.255,21.0
3,-0.475,24.2
4,-0.381,6.6
5,-0.212,6.3
6,-0.153,23.8